! CaTlBr2, optimized geometry, DFT PBE-GGA; values from VASP
&SYSTEM
  ibrav = 0, nat = 4, ntyp = 3
/
ATOMIC_SPECIES
Ca 40.08 Ca.upf
Tl 204.38 Tl.upf
Br 79.90 Br.upf
CELL_PARAMETERS angstrom
2.044 1.180 10.630
-2.044 1.180 10.630
0.000 -2.361 10.630
ATOMIC_POSITIONS angstrom
Ca 0.000 0.000 0.000
Tl 0.000 0.000 15.944
Br 0.000 0.000 12.295
Br 0.000 0.000 19.594
! DOS at the Fermi energy: 1.1 states/eV/cell
! raw formation energy: -5.35 eV/f.u.